Computed, not measured: an optimized crystal structure of CsLaZrCd2 at the PBE level of DFT.

Output
Its formation energy is 178 kJ/mol of formula units. As for the density of states at the Fermi level: 0.949 states/eV/atom. For the electronic total energy, the calculation gives -2.862 eV per atom.

```
CsLaZrCd2
1.0
5.9147 0.0000 0.0000
0.0000 5.5117 0.0000
0.0000 0.0000 5.9147
Cs Cd Zr La
1 2 1 1
Cartesian
2.9573 2.7559 2.9573 Cs
0.0000 0.0000 2.9573 Cd
2.9573 0.0000 0.0000 Cd
0.0000 0.0000 0.0000 Zr
0.0000 2.7559 0.0000 La
```


Computed, not measured: an optimized crystal structure of NbVC at the PBE level of DFT.

Output
Its formation energy is -69 kJ/mol of formula units. As for the density of states at the Fermi level: 0.514 states/eV/atom. For the electronic total energy, the calculation gives -9.710 eV per atom.

```
NbVC
1.0
3.0971 -0.1059 -1.0255
-0.2355 3.0900 -1.0255
-0.8631 -0.9000 7.8404
Nb V C
2 2 2
Cartesian
2.2829 0.6704 1.5518 Nb
1.4243 -0.2249 4.2376 Nb
1.4519 1.4718 -1.0255 V
-0.2137 3.0691 -1.0255 V
-0.0283 1.5959 4.8582 C
0.4029 2.0456 0.9312 C
```


Computed, not measured: an optimized crystal structure of Dy7Cd2Cu2 at the PBE level of DFT.

Output
Its formation energy is -9 kJ/mol of formula units. As for the density of states at the Fermi level: 1.089 states/eV/atom. For the electronic total energy, the calculation gives -3.848 eV per atom.

```
Dy7Cd2Cu2
1.0
-4.7626 2.5764 4.1480
-1.4607 -6.5194 2.3714
5.9954 -0.1621 3.2488
Dy Cd Cu
7 2 2
Cartesian
-2.1364 0.8236 6.3805 Dy
2.5250 -3.7212 7.0870 Dy
1.9084 -4.9287 3.3877 Dy
-2.7529 -0.3838 2.6811 Dy
0.0000 0.0000 0.0000 Dy
-0.4900 -3.7198 5.4909 Dy
0.2621 -0.3853 4.2772 Dy
0.2878 -1.2657 7.2947 Cd
-0.5157 -2.8394 2.4734 Cd
-3.0021 -4.7628 6.2501 Cu
2.7742 0.6577 3.5181 Cu
```


Computed, not measured: an optimized crystal structure of SrLi2Cl4 at the PBE level of DFT.

Output
As for the density of states at the Fermi level: 0.000 states/eV/atom. For the electronic total energy, the calculation gives -3.915 eV per atom. The value obtained for the uncorrected formation energy is -2.072 eV/atom.

```
SrLi2Cl4
1.0
-4.9053 2.5394 -5.4701
-7.3320 -2.2014 0.0285
-3.9926 6.4471 1.0487
Sr Li Cl
2 4 8
Cartesian
-9.3411 4.0273 -3.5637 Sr
-16.2296 6.7849 -4.3928 Sr
-7.8840 0.7913 -2.2300 Li
-7.1195 5.3589 -0.7951 Li
-13.0216 4.7959 -4.0508 Li
-4.4354 2.6244 -1.7103 Li
-5.2512 4.0157 0.0469 Cl
-7.6946 6.3557 -2.9574 Cl
-6.9628 0.6905 0.0383 Cl
-6.4992 2.5623 -3.0291 Cl
-8.8413 3.7622 -0.3721 Cl
-10.0978 1.2383 -3.1779 Cl
-3.0444 0.9430 -0.5969 Cl
-11.6231 5.0332 -2.0536 Cl
```


Computed, not measured: an optimized crystal structure of CoSb2W at the PBE level of DFT.

Output
As for the density of states at the Fermi level: 0.748 states/eV/atom. For the electronic total energy, the calculation gives -6.650 eV per atom. The value obtained for the uncorrected formation energy is 0.426 eV/atom.

```
CoSb2W
1.0
-3.0464 -5.8067 1.6648
1.9207 -5.9360 2.6161
-0.6003 6.7383 -0.0683
Co Sb W
1 2 1
Cartesian
0.3845 -2.4752 2.3225 Co
-0.0551 -0.5743 0.2094 Sb
-2.1373 -2.8095 1.9923 Sb
-0.4809 -5.0168 1.8290 W
```


Computed, not measured: an optimized crystal structure of HfSc2Al9 at the PBE level of DFT.

Output
Its formation energy is -491 kJ/mol of formula units. As for the density of states at the Fermi level: 0.609 states/eV/atom. For the electronic total energy, the calculation gives -5.116 eV per atom.

```
HfSc2Al9
1.0
-2.5628 0.7741 3.1112
2.9312 -1.0478 2.6752
3.8816 11.6322 0.3032
Hf Sc Al
1 2 9
Cartesian
0.0000 0.0000 0.0000 Hf
1.2908 3.8681 0.1008 Sc
2.5908 7.7641 0.2023 Sc
0.1842 -0.1369 2.8932 Al
1.4754 3.7325 2.9940 Al
2.7746 7.6260 3.0955 Al
-0.6376 2.3165 1.6059 Al
0.6594 6.2032 1.7072 Al
1.9564 10.0898 1.8085 Al
2.1094 1.4055 1.3879 Al
3.4064 5.2922 1.4892 Al
4.7033 9.1789 1.5905 Al
```


Computed, not measured: an optimized crystal structure of SrLi2GeRh at the PBE level of DFT.

Output
Its formation energy is -168 kJ/mol of formula units. As for the density of states at the Fermi level: 0.313 states/eV/atom. For the electronic total energy, the calculation gives -3.844 eV per atom.

```
SrLi2GeRh
1.0
-1.4602 -4.4051 1.2841
3.3305 -0.0906 3.4765
-3.1014 1.9087 3.0209
Sr Ge Rh Li
1 1 1 2
Cartesian
-0.6156 -1.2935 3.8907 Sr
-1.5507 0.9543 1.5104 Ge
0.0000 0.0000 0.0000 Rh
1.6653 -0.0453 1.7382 Li
-0.7301 -2.2026 0.6421 Li
```


Computed, not measured: an optimized crystal structure of LiVSi at the PBE level of DFT.

Output
As for the density of states at the Fermi level: 0.471 states/eV/atom. For the electronic total energy, the calculation gives -5.768 eV per atom. The value obtained for the uncorrected formation energy is -0.283 eV/atom.

```
LiVSi
1.0
-0.1024 -0.9520 2.5206
1.7429 -3.4918 -1.2480
6.4926 3.0413 0.5581
Li V Si
2 2 2
Cartesian
0.7221 -0.9741 0.3709 Li
7.4110 -0.4284 1.4598 Li
2.9776 -0.4560 2.0712 V
5.1555 -0.9466 -0.2405 V
5.1003 0.7330 1.7091 Si
3.0328 -2.1355 0.1216 Si
```